VASP calculation (PBE) on crystalline ScFePtPb at its relaxed geometry.

CIF file:
```
data_ScFePtPb
_chemical_formula_sum 'Sc4 Fe4 Pt4 Pb4'
_cell_length_a 6.592
_cell_length_b 6.592
_cell_length_c 6.592
_cell_angle_alpha 90.00
_cell_angle_beta 90.00
_cell_angle_gamma 90.00
_symmetry_space_group_name_H-M 'F -4 3 m'
_symmetry_Int_Tables_number 216
_symmetry_space_group_name_Hall 'F -4 2 3'
loop_
_atom_site_label
_atom_site_fract_x
_atom_site_fract_y
_atom_site_fract_z
Sc1 0.000 0.000 0.000
Fe1 0.250 0.250 0.750
Pt1 0.250 0.250 0.250
Pb1 0.000 0.000 0.500
```

Summary:
The value obtained for the total magnetic moment is 7.25 μB/cell. As for the total DFT energy (no corrections): -101.7 eV per cell.


VASP calculation (PBE) on crystalline ScFePtPb at its relaxed geometry.

CIF file:
```
data_ScFePtPb
_chemical_formula_sum 'Sc4 Fe4 Pt4 Pb4'
_cell_length_a 6.567
_cell_length_b 6.567
_cell_length_c 6.567
_cell_angle_alpha 90.00
_cell_angle_beta 90.00
_cell_angle_gamma 90.00
_symmetry_space_group_name_H-M 'F -4 3 m'
_symmetry_Int_Tables_number 216
_symmetry_space_group_name_Hall 'F -4 2 3'
loop_
_atom_site_label
_atom_site_fract_x
_atom_site_fract_y
_atom_site_fract_z
Sc1 0.000 0.000 0.000
Fe1 0.000 0.000 0.500
Pt1 0.250 0.250 0.750
Pb1 0.250 0.250 0.250
```

Summary:
The value obtained for the total magnetic moment is 10.71 μB/cell. As for the total DFT energy (no corrections): -100.2 eV per cell.


VASP calculation (PBE) on crystalline TaFePtPb at its relaxed geometry.

CIF file:
```
data_TaFePtPb
_chemical_formula_sum 'Ta4 Fe4 Pt4 Pb4'
_cell_length_a 6.532
_cell_length_b 6.532
_cell_length_c 6.532
_cell_angle_alpha 90.00
_cell_angle_beta 90.00
_cell_angle_gamma 90.00
_symmetry_space_group_name_H-M 'F -4 3 m'
_symmetry_Int_Tables_number 216
_symmetry_space_group_name_Hall 'F -4 2 3'
loop_
_atom_site_label
_atom_site_fract_x
_atom_site_fract_y
_atom_site_fract_z
Ta1 0.000 0.000 0.000
Fe1 0.250 0.250 0.750
Pt1 0.250 0.250 0.250
Pb1 0.000 0.000 0.500
```

Summary:
The value obtained for the total magnetic moment is 7.39 μB/cell. As for the total DFT energy (no corrections): -116.4 eV per cell.


VASP calculation (PBE) on crystalline TaFePtPb at its relaxed geometry.

CIF file:
```
data_TaFePtPb
_chemical_formula_sum 'Ta4 Fe4 Pt4 Pb4'
_cell_length_a 6.531
_cell_length_b 6.531
_cell_length_c 6.531
_cell_angle_alpha 90.00
_cell_angle_beta 90.00
_cell_angle_gamma 90.00
_symmetry_space_group_name_H-M 'F -4 3 m'
_symmetry_Int_Tables_number 216
_symmetry_space_group_name_Hall 'F -4 2 3'
loop_
_atom_site_label
_atom_site_fract_x
_atom_site_fract_y
_atom_site_fract_z
Ta1 0.000 0.000 0.000
Fe1 0.000 0.000 0.500
Pt1 0.250 0.250 0.750
Pb1 0.250 0.250 0.250
```

Summary:
The value obtained for the total magnetic moment is 7.57 μB/cell. As for the total DFT energy (no corrections): -115.1 eV per cell.


VASP calculation (PBE) on crystalline FePtPbW at its relaxed geometry.

CIF file:
```
data_FePtPbW
_chemical_formula_sum 'Fe4 Pt4 Pb4 W4'
_cell_length_a 6.477
_cell_length_b 6.477
_cell_length_c 6.477
_cell_angle_alpha 90.00
_cell_angle_beta 90.00
_cell_angle_gamma 90.00
_symmetry_space_group_name_H-M 'F -4 3 m'
_symmetry_Int_Tables_number 216
_symmetry_space_group_name_Hall 'F -4 2 3'
loop_
_atom_site_label
_atom_site_fract_x
_atom_site_fract_y
_atom_site_fract_z
Fe1 0.000 0.000 0.000
Pt1 0.000 0.000 0.500
Pb1 0.250 0.250 0.750
W1 0.250 0.250 0.250
```

Summary:
The value obtained for the total magnetic moment is 11.81 μB/cell. As for the total DFT energy (no corrections): -113.9 eV per cell.


VASP calculation (PBE) on crystalline FePtPbW at its relaxed geometry.

CIF file:
```
data_FePtPbW
_chemical_formula_sum 'Fe4 Pt4 Pb4 W4'
_cell_length_a 6.460
_cell_length_b 6.460
_cell_length_c 6.460
_cell_angle_alpha 90.00
_cell_angle_beta 90.00
_cell_angle_gamma 90.00
_symmetry_space_group_name_H-M 'F -4 3 m'
_symmetry_Int_Tables_number 216
_symmetry_space_group_name_Hall 'F -4 2 3'
loop_
_atom_site_label
_atom_site_fract_x
_atom_site_fract_y
_atom_site_fract_z
Fe1 0.000 0.000 0.000
Pt1 0.250 0.250 0.250
Pb1 0.250 0.250 0.750
W1 0.000 0.000 0.500
```

Summary:
The value obtained for the total magnetic moment is 5.36 μB/cell. As for the total DFT energy (no corrections): -114.5 eV per cell.


VASP calculation (PBE) on crystalline YFePtPb at its relaxed geometry.

CIF file:
```
data_YFePtPb
_chemical_formula_sum 'Y4 Fe4 Pt4 Pb4'
_cell_length_a 6.800
_cell_length_b 6.800
_cell_length_c 6.800
_cell_angle_alpha 90.00
_cell_angle_beta 90.00
_cell_angle_gamma 90.00
_symmetry_space_group_name_H-M 'F -4 3 m'
_symmetry_Int_Tables_number 216
_symmetry_space_group_name_Hall 'F -4 2 3'
loop_
_atom_site_label
_atom_site_fract_x
_atom_site_fract_y
_atom_site_fract_z
Y1 0.000 0.000 0.000
Fe1 0.000 0.000 0.500
Pt1 0.250 0.250 0.750
Pb1 0.250 0.250 0.250
```

Summary:
The value obtained for the total magnetic moment is 11.31 μB/cell. As for the total DFT energy (no corrections): -100.0 eV per cell.


VASP calculation (PBE) on crystalline YFePtPb at its relaxed geometry.

CIF file:
```
data_YFePtPb
_chemical_formula_sum 'Y4 Fe4 Pt4 Pb4'
_cell_length_a 6.828
_cell_length_b 6.828
_cell_length_c 6.828
_cell_angle_alpha 90.00
_cell_angle_beta 90.00
_cell_angle_gamma 90.00
_symmetry_space_group_name_H-M 'F -4 3 m'
_symmetry_Int_Tables_number 216
_symmetry_space_group_name_Hall 'F -4 2 3'
loop_
_atom_site_label
_atom_site_fract_x
_atom_site_fract_y
_atom_site_fract_z
Y1 0.000 0.000 0.000
Fe1 0.250 0.250 0.750
Pt1 0.250 0.250 0.250
Pb1 0.000 0.000 0.500
```

Summary:
The value obtained for the total magnetic moment is 9.19 μB/cell. As for the total DFT energy (no corrections): -101.6 eV per cell.


The records above yield calculated density values of 11.665, 11.798, 15.231, 15.241, 15.693, 15.820, 11.558, 11.415 g/cm³, respectively.